No. 1
Crystalline PrGdAgSb at its relaxed geometry. Source: the Alexandria database, functional PBE.

a b c (Å): 5.3599 5.3599 5.3599
angles (deg): 60.00 60.00 60.00
Fractional coordinates of all 4 atoms:
Pr1 0.0000 0.0000 0.0000
Gd1 0.5000 0.5000 0.5000
Ag1 0.7500 0.7500 0.7500
Sb1 0.2500 0.2500 0.2500

Values from the calculation:
DOS(E_F), states/eV/cell: 5.494
Symmetry: F-43m
ΔE_f (raw), kcal/mol of atoms: -13.8
Total DFT energy (no corrections), eV per atom: -7.06

No. 2
Crystalline PrGdAgSn at its relaxed geometry. Source: the Alexandria database, functional PBE.

a b c (Å): 5.3673 5.3673 5.3673
angles (deg): 60.00 60.00 60.00
Fractional coordinates of all 4 atoms:
Pr1 0.0000 0.0000 0.0000
Gd1 0.5000 0.5000 0.5000
Ag1 0.7500 0.7500 0.7500
Sn1 0.2500 0.2500 0.2500

Values from the calculation:
DOS(E_F), states/eV/cell: 3.882
Symmetry: F-43m
Total DFT energy (no corrections), eV per atom: -6.96

No. 3
Crystalline TbPrGdAg at its relaxed geometry. Source: the Alexandria database, functional PBE.

a b c (Å): 5.4554 5.4554 5.4554
angles (deg): 60.00 60.00 60.00
Fractional coordinates of all 4 atoms:
Tb1 0.0000 0.0000 0.0000
Pr1 0.5000 0.5000 0.5000
Gd1 0.7500 0.7500 0.7500
Ag1 0.2500 0.2500 0.2500

Values from the calculation:
DOS(E_F), states/eV/cell: 6.309
Symmetry: F-43m
Total DFT energy (no corrections), eV per atom: -6.52

No. 4
Crystalline PrGdTlAg at its relaxed geometry. Source: the Alexandria database, functional PBE.

a b c (Å): 5.3909 5.3909 5.3909
angles (deg): 60.00 60.00 60.00
Fractional coordinates of all 4 atoms:
Pr1 0.0000 0.0000 0.0000
Gd1 0.5000 0.5000 0.5000
Tl1 0.7500 0.7500 0.7500
Ag1 0.2500 0.2500 0.2500

Values from the calculation:
DOS(E_F), states/eV/cell: 5.037
Symmetry: F-43m
Total DFT energy (no corrections), eV per atom: -6.35

No. 5
Crystalline PrGdZnAg at its relaxed geometry. Source: the Alexandria database, functional PBE.

a b c (Å): 5.2269 5.2269 5.2269
angles (deg): 60.00 60.00 60.00
Fractional coordinates of all 4 atoms:
Pr1 0.0000 0.0000 0.0000
Gd1 0.5000 0.5000 0.5000
Zn1 0.2500 0.2500 0.2500
Ag1 0.7500 0.7500 0.7500

Values from the calculation:
DOS(E_F), states/eV/cell: 4.090
Symmetry: F-43m
Total DFT energy (no corrections), eV per atom: -6.04

No. 6
Crystalline Gd2AgPt at its relaxed geometry. Source: the Alexandria database, functional PBE.

a b c (Å): 3.5935 3.5935 7.2524
angles (deg): 90.00 90.00 90.00
Fractional coordinates of all 4 atoms:
Gd1 0.0000 0.0000 0.2332
Gd2 0.0000 0.0000 0.7668
Ag1 0.5000 0.5000 0.5000
Pt1 0.5000 0.5000 0.0000

Values from the calculation:
DOS(E_F), states/eV/cell: 3.625
Symmetry: P4/mmm
Total DFT energy (no corrections), eV per atom: -10.01

No. 7
Crystalline GdAgPt at its relaxed geometry. Source: the Alexandria database, functional PBE.

a b c (Å): 4.6436 4.6436 3.4838
angles (deg): 90.00 90.00 120.00
Fractional coordinates of all 3 atoms:
Gd1 0.0000 0.0000 0.0000
Ag1 0.3333 0.6667 0.5000
Pt1 0.6667 0.3333 0.5000

Values from the calculation:
DOS(E_F), states/eV/cell: 1.804
Symmetry: P-6m2
Offset from the most stable computed form, meV/atom: 59
Total DFT energy (no corrections), eV per atom: -8.28

No. 8
Crystalline GdAgPt at its relaxed geometry. Source: the Alexandria database, functional PBE.

a b c (Å): 4.6897 4.6897 4.6897
angles (deg): 60.00 60.00 60.00
Fractional coordinates of all 3 atoms:
Gd1 0.0000 0.0000 0.0000
Ag1 0.5000 0.5000 0.5000
Pt1 0.7500 0.7500 0.7500

Values from the calculation:
DOS(E_F), states/eV/cell: 1.282
Symmetry: F-43m
Offset from the most stable computed form, meV/atom: 37
Total DFT energy (no corrections), eV per atom: -8.30